First-principles (GGA-PBE) data for CsRbHClO after structural relaxation, as listed in Alexandria via LeMat-Bulk.

* energy relative to the lowest polymorph listed for this composition: 2.9 kJ per mole of atoms
* calculated density: 3.316 g cm⁻³
* raw total energy: -3.9120 eV/atom
* crystal system: monoclinic
* symmetry: No. 6

The structure in POSCAR format:
```
CsRbHClO
1.0
4.5261 0.0000 -0.0001
0.0000 4.0732 0.0000
-0.7388 0.0000 7.3575
Cs Rb H Cl O
1 1 1 1 1
direct
0.0347 0.5000 0.1252
0.4546 0.5000 0.6940
0.9338 0.0000 0.6828
0.5779 0.0000 0.3575
0.9950 0.0000 0.8133
```